# CsHgPd PBE relaxed
# energy above the lowest structure with this stoichiometry: 0 meV/atom
# calculated total energy: -1.97 eV/atom
data_CsHgPd
_cell_length_a 5.268
_cell_length_b 5.268
_cell_length_c 5.268
_cell_angle_alpha 60.00
_cell_angle_beta 60.00
_cell_angle_gamma 60.00
_symmetry_space_group_name_H-M 'P 1'
_symmetry_Int_Tables_number 1
_symmetry_space_group_name_Hall 'P 1'
loop_
_atom_site_label
_atom_site_type_symbol
_atom_site_fract_x
_atom_site_fract_y
_atom_site_fract_z
Cs1 Cs 0.250 0.250 0.250
Hg1 Hg 0.750 0.750 0.750
Pd1 Pd 0.000 0.000 0.000